A plane-wave DFT calculation with GGA-PBE was carried out for a relaxed La2PrHo9 crystal.

Properties
Energy above the lowest structure with this stoichiometry = 51 meV per atom
Mass density = 8.06 g/cm3
Formation energy = 8.0 kJ per mole of atoms

Cell and atoms, written as CIF:
```
data_La2PrHo9
_cell_length_a 3.5092
_cell_length_b 11.3618
_cell_length_c 11.3618
_cell_angle_alpha 120.00
_cell_angle_beta 90.00
_cell_angle_gamma 90.00
_space_group_name_H-M_alt 'P 1'
_space_group_IT_number 1
_space_group_name_Hall 'P 1'
loop_
_atom_site_label
_atom_site_type_symbol
_atom_site_fract_x
_atom_site_fract_y
_atom_site_fract_z
La1 La 0.0000 0.3333 0.6667
La2 La 0.0000 0.6667 0.3333
Pr1 Pr 0.0000 0.0000 0.0000
Ho1 Ho 0.0000 0.0000 0.5000
Ho2 Ho 0.0000 0.5000 0.5000
Ho3 Ho 0.0000 0.5000 0.0000
Ho4 Ho 0.5000 0.3478 0.1739
Ho5 Ho 0.5000 0.1739 0.8261
Ho6 Ho 0.5000 0.1739 0.3478
Ho7 Ho 0.5000 0.8261 0.6522
Ho8 Ho 0.5000 0.8261 0.1739
Ho9 Ho 0.5000 0.6522 0.8261
```

---

A plane-wave DFT calculation with GGA-PBE was carried out for a relaxed La2PrHo6 crystal.

Properties
Energy above the lowest structure with this stoichiometry = 0 meV per atom
Mass density = 7.82 g/cm3
Formation energy = 10.5 kJ per mole of atoms

Cell and atoms, written as CIF:
```
data_La2PrHo6
_cell_length_a 3.5121
_cell_length_b 9.8679
_cell_length_c 9.8679
_cell_angle_alpha 63.43
_cell_angle_beta 79.78
_cell_angle_gamma 79.78
_space_group_name_H-M_alt 'P 1'
_space_group_IT_number 1
_space_group_name_Hall 'P 1'
loop_
_atom_site_label
_atom_site_type_symbol
_atom_site_fract_x
_atom_site_fract_y
_atom_site_fract_z
La1 La 0.8449 0.6573 0.6573
La2 La 0.1551 0.3427 0.3427
Pr1 Pr 0.0000 0.0000 0.0000
Ho1 Ho 0.8214 0.3444 0.0105
Ho2 Ho 0.1786 0.9895 0.6556
Ho3 Ho 0.1786 0.6556 0.9895
Ho4 Ho 0.5000 0.3117 0.6883
Ho5 Ho 0.8214 0.0105 0.3444
Ho6 Ho 0.5000 0.6883 0.3117
```

---

A plane-wave DFT calculation with GGA-PBE was carried out for a relaxed LaPr8Ho4 crystal.

Properties
Mass density = 7.02 g/cm3
Formation energy = 15.8 kJ per mole of atoms

Cell and atoms, written as CIF:
```
data_LaPr8Ho4
_cell_length_a 7.4472
_cell_length_b 7.4472
_cell_length_c 10.4095
_cell_angle_alpha 90.00
_cell_angle_beta 110.96
_cell_angle_gamma 120.00
_space_group_name_H-M_alt 'P 1'
_space_group_IT_number 1
_space_group_name_Hall 'P 1'
loop_
_atom_site_label
_atom_site_type_symbol
_atom_site_fract_x
_atom_site_fract_y
_atom_site_fract_z
La1 La 0.0000 0.5000 0.5000
Pr1 Pr 0.5640 0.7820 0.3461
Pr2 Pr 0.4360 0.2180 0.6539
Pr3 Pr 0.4996 0.2498 0.2970
Pr4 Pr 0.9528 0.2026 0.7030
Pr5 Pr 0.5004 0.7502 0.7030
Pr6 Pr 0.9528 0.7502 0.7030
Pr7 Pr 0.0472 0.2498 0.2970
Pr8 Pr 0.0472 0.7974 0.2970
Ho1 Ho 0.0000 0.0000 0.0000
Ho2 Ho 0.0000 0.5000 0.0000
Ho3 Ho 0.5000 0.5000 0.0000
Ho4 Ho 0.5000 0.0000 0.0000
```

---

A plane-wave DFT calculation with GGA-PBE was carried out for a relaxed La12Pr5Ho2 crystal.

Properties
Energy above the lowest structure with this stoichiometry = 0 meV per atom
Mass density = 6.52 g/cm3
Formation energy = 7.5 kJ per mole of atoms

Cell and atoms, written as CIF:
```
data_La12Pr5Ho2
_cell_length_a 6.4582
_cell_length_b 9.6896
_cell_length_c 12.8416
_cell_angle_alpha 72.74
_cell_angle_beta 67.01
_cell_angle_gamma 94.86
_space_group_name_H-M_alt 'P 1'
_space_group_IT_number 1
_space_group_name_Hall 'P 1'
loop_
_atom_site_label
_atom_site_type_symbol
_atom_site_fract_x
_atom_site_fract_y
_atom_site_fract_z
La1 La 0.1095 0.9476 0.8628
La2 La 0.2044 0.5932 0.0313
La3 La 0.2105 0.0610 0.5475
La4 La 0.6448 0.6630 0.1130
La5 La 0.6588 0.1700 0.6329
La6 La 0.2374 0.4507 0.4068
La7 La 0.7626 0.5493 0.5932
La8 La 0.3552 0.3370 0.8870
La9 La 0.3412 0.8300 0.3671
La10 La 0.7956 0.4068 0.9687
La11 La 0.7895 0.9390 0.4525
La12 La 0.8905 0.0524 0.1372
Pr1 Pr 0.2982 0.2159 0.2226
Pr2 Pr 0.7517 0.3119 0.3094
Pr3 Pr 0.5000 0.0000 0.0000
Pr4 Pr 0.2483 0.6881 0.6906
Pr5 Pr 0.7018 0.7841 0.7774
Ho1 Ho 0.0732 0.3067 0.7161
Ho2 Ho 0.9268 0.6933 0.2839
```

---

Please write out number 3 again, unchanged.
A plane-wave DFT calculation with GGA-PBE was carried out for a relaxed LaPr8Ho4 crystal.

Properties
Mass density = 7.02 g/cm3
Formation energy = 15.8 kJ per mole of atoms

Cell and atoms, written as CIF:
```
data_LaPr8Ho4
_cell_length_a 7.4472
_cell_length_b 7.4472
_cell_length_c 10.4095
_cell_angle_alpha 90.00
_cell_angle_beta 110.96
_cell_angle_gamma 120.00
_space_group_name_H-M_alt 'P 1'
_space_group_IT_number 1
_space_group_name_Hall 'P 1'
loop_
_atom_site_label
_atom_site_type_symbol
_atom_site_fract_x
_atom_site_fract_y
_atom_site_fract_z
La1 La 0.0000 0.5000 0.5000
Pr1 Pr 0.5640 0.7820 0.3461
Pr2 Pr 0.4360 0.2180 0.6539
Pr3 Pr 0.4996 0.2498 0.2970
Pr4 Pr 0.9528 0.2026 0.7030
Pr5 Pr 0.5004 0.7502 0.7030
Pr6 Pr 0.9528 0.7502 0.7030
Pr7 Pr 0.0472 0.2498 0.2970
Pr8 Pr 0.0472 0.7974 0.2970
Ho1 Ho 0.0000 0.0000 0.0000
Ho2 Ho 0.0000 0.5000 0.0000
Ho3 Ho 0.5000 0.5000 0.0000
Ho4 Ho 0.5000 0.0000 0.0000
```

---

> Which of these has the highest mass density?

La2PrHo9